Computed, not measured: a relaxed K2PtI crystal at the GGA-PBEsol level of DFT.

a = 5.584 Å, b = 5.584 Å, c = 5.584 Å
α = 60.00°, β = 60.00°, γ = 60.00°
Fractional coordinates of all 4 atoms:
K 0.250 0.250 0.250
K 0.750 0.750 0.750
Pt 0.000 0.000 0.000
I 0.500 0.500 0.500

energy relative to the elements, uncorrected	-46	kJ/mol of formula units
M_tot	0.8	μB/f.u.
DFT total energy	-11.5	eV/f.u.
Fermi-level density of states	5.0	states/eV/cell
space group	Fm-3m, No. 225